Density functional theory data (PBE) for a relaxed structure of ZnFe5N.

Cell and atoms, written as CIF:
```
data_ZnFe5N
_space_group_name_H-M_alt 'P 4/m m m'
_space_group_IT_number 123
_space_group_name_Hall '-P 4 2'
_cell_length_a 3.485
_cell_length_b 3.485
_cell_length_c 6.346
_cell_angle_alpha 90.00
_cell_angle_beta 90.00
_cell_angle_gamma 90.00
loop_
_atom_site_label
_atom_site_type_symbol
_atom_site_fract_x
_atom_site_fract_y
_atom_site_fract_z
_atom_site_occupancy
Zn1 Zn 0.000 0.000 0.000 1
Fe1 Fe 0.000 0.500 0.308 1
Fe2 Fe 0.500 0.500 0.000 1
N1 N 0.500 0.500 0.500 1
```

Computed properties:
Its crystal system is tetragonal. For the raw total energy, the calculation gives -7.21 eV/atom. The spin magnetization comes out at 11.2 μB per cell.

***

Density functional theory data (PBE) for a relaxed structure of Zn2Fe3N.

Cell and atoms, written as CIF:
```
data_Zn2Fe3N
_space_group_name_H-M_alt 'P 41 3 2'
_space_group_IT_number 213
_space_group_name_Hall 'P 4bd 2ab 3'
_cell_length_a 6.394
_cell_length_b 6.394
_cell_length_c 6.394
_cell_angle_alpha 90.00
_cell_angle_beta 90.00
_cell_angle_gamma 90.00
loop_
_atom_site_label
_atom_site_type_symbol
_atom_site_fract_x
_atom_site_fract_y
_atom_site_fract_z
_atom_site_occupancy
Zn1 Zn 0.069 0.069 0.069 1
Fe1 Fe 0.041 0.875 0.709 1
N1 N 0.125 0.625 0.875 1
```

Computed properties:
Its crystal system is cubic. For the raw total energy, the calculation gives -6.09 eV/atom. The spin magnetization comes out at 22.7 μB per cell.

***

Density functional theory data (PBE) for a relaxed structure of ZnFe5N4.

Cell and atoms, written as CIF:
```
data_ZnFe5N4
_space_group_name_H-M_alt 'P m m n'
_space_group_IT_number 59
_cell_length_a 5.558
_cell_length_b 7.635
_cell_length_c 4.791
_cell_angle_alpha 90.00
_cell_angle_beta 90.00
_cell_angle_gamma 90.00
loop_
_space_group_symop_operation_xyz
'x,y,z'
'-x,-y,-z'
'-x+1/2,-y+1/2,z'
'x+1/2,y+1/2,-z'
'x+1/2,-y,-z'
'-x+1/2,y,z'
'-x,y+1/2,-z'
'x,-y+1/2,z'
loop_
_atom_site_label
_atom_site_type_symbol
_atom_site_fract_x
_atom_site_fract_y
_atom_site_fract_z
_atom_site_occupancy
Zn1 Zn 0.250 0.250 0.160 1
Fe1 Fe 0.017 0.535 0.262 1
Fe2 Fe 0.250 0.750 0.853 1
N1 N 0.020 0.750 0.149 1
N2 N 0.250 0.564 0.567 1
```

Computed properties:
Its crystal system is orthorhombic. For the raw total energy, the calculation gives -7.54 eV/atom. The spin magnetization comes out at 4.2 μB per cell.

***

Density functional theory data (PBE) for a relaxed structure of Zr2ZnFeN.

Cell and atoms, written as CIF:
```
data_Zr2ZnFeN
_space_group_name_H-M_alt 'P 4/m m m'
_space_group_IT_number 123
_space_group_name_Hall '-P 4 2'
_cell_length_a 4.529
_cell_length_b 4.529
_cell_length_c 3.742
_cell_angle_alpha 90.00
_cell_angle_beta 90.00
_cell_angle_gamma 90.00
loop_
_atom_site_label
_atom_site_type_symbol
_atom_site_fract_x
_atom_site_fract_y
_atom_site_fract_z
_atom_site_occupancy
Zr1 Zr 0.000 0.500 0.000 1
Zn1 Zn 0.000 0.000 0.500 1
Fe1 Fe 0.500 0.500 0.500 1
N1 N 0.500 0.500 0.000 1
```

Computed properties:
Its crystal system is tetragonal. For the raw total energy, the calculation gives -7.69 eV/atom. The spin magnetization comes out at 2.1 μB per cell.

***

Please write out number 2 again, unchanged.
Density functional theory data (PBE) for a relaxed structure of Zn2Fe3N.

Cell and atoms, written as CIF:
```
data_Zn2Fe3N
_space_group_name_H-M_alt 'P 41 3 2'
_space_group_IT_number 213
_space_group_name_Hall 'P 4bd 2ab 3'
_cell_length_a 6.394
_cell_length_b 6.394
_cell_length_c 6.394
_cell_angle_alpha 90.00
_cell_angle_beta 90.00
_cell_angle_gamma 90.00
loop_
_atom_site_label
_atom_site_type_symbol
_atom_site_fract_x
_atom_site_fract_y
_atom_site_fract_z
_atom_site_occupancy
Zn1 Zn 0.069 0.069 0.069 1
Fe1 Fe 0.041 0.875 0.709 1
N1 N 0.125 0.625 0.875 1
```

Computed properties:
Its crystal system is cubic. For the raw total energy, the calculation gives -6.09 eV/atom. The spin magnetization comes out at 22.7 μB per cell.